<a>
CdHgSO: relaxed, PBE.

Unit cell a=6.2062 b=3.7932 c=13.7447 alpha=90.00 beta=90.00 gamma=90.00
Space group Pnma (No. 62)
Symmetry-distinct sites (fractional):
Cd: 0.1345 0.2500 0.1682
Hg: 0.1491 0.7500 0.3927
S: 0.2399 0.2500 0.5583
O: 0.2199 0.7500 0.8145

***

<b>
CdHgSO: relaxed, PBE.

Unit cell a=6.6493 b=7.9282 c=6.3354 alpha=90.00 beta=90.00 gamma=90.00
Space group Pca2_1 (No. 29)
Symmetry-distinct sites (fractional):
Cd: 0.1178 0.0904 0.0000
Hg: 0.0569 0.6375 0.0848
S: 0.0623 0.6547 0.6712
O: 0.0815 0.1023 0.6524

***

Relative calculated energies, zero for the most stable structure, unit meV per atom: <a> 81; <b> 0.